No. 1
Material: RbFeAgTe2S
Method: DFT, PBE-GGA
State: optimized geometry

Geometry as POSCAR:
```
RbFeAgTe2S
1.0
1.9645 -7.7620 0.0000
1.9645 7.7620 0.0000
0.0000 0.0000 11.0238
Rb Fe Ag Te S
2 2 2 4 2
Cartesian
1.9645 4.0021 8.2678
1.9645 -4.0021 2.7559
1.9645 0.0000 0.0000
1.9645 0.0000 5.5119
1.9645 7.2656 2.7559
1.9645 -7.2656 8.2678
1.9645 5.9916 0.3163
1.9645 5.9916 5.1956
1.9645 -5.9916 5.8282
1.9645 -5.9916 10.7074
1.9645 1.0337 2.7559
1.9645 -1.0337 8.2678
```

Results
Electronic total energy, eV/atom: -3.9266
Theoretical density, g/cm3: 5.30
Total moment, μB/cell: 6.64

No. 2
Material: FeReAg2
Method: DFT, PBE-GGA
State: optimized geometry

Geometry as POSCAR:
```
FeReAg2
1.0
6.2709 0.0000 0.0000
0.0000 6.2709 0.0000
0.0000 0.0000 6.2709
Fe Re Ag
4 4 8
Cartesian
0.0000 0.0000 0.0000
0.0000 3.1355 3.1355
3.1355 0.0000 3.1355
3.1355 3.1355 0.0000
1.5677 1.5677 4.7032
1.5677 4.7032 1.5677
4.7032 1.5677 1.5677
4.7032 4.7032 4.7032
0.0000 0.0000 3.1355
0.0000 3.1355 0.0000
1.5677 1.5677 1.5677
1.5677 4.7032 4.7032
3.1355 0.0000 0.0000
3.1355 3.1355 3.1355
4.7032 1.5677 4.7032
4.7032 4.7032 1.5677
```

Results
Theoretical density, g/cm3: 12.33
Total moment, μB/cell: 7.15
Formation energy from the elements, eV/atom: 0.78

No. 3
Material: FeReAgSb
Method: DFT, PBE-GGA
State: optimized geometry

Geometry as POSCAR:
```
FeReAgSb
1.0
6.3639 0.0000 0.0000
0.0000 6.3639 0.0000
0.0000 0.0000 6.3639
Fe Re Ag Sb
4 4 4 4
Cartesian
0.0000 0.0000 0.0000
0.0000 3.1820 3.1820
3.1820 0.0000 3.1820
3.1820 3.1820 0.0000
0.0000 0.0000 3.1820
0.0000 3.1820 0.0000
3.1820 0.0000 0.0000
3.1820 3.1820 3.1820
1.5910 1.5910 1.5910
1.5910 4.7729 4.7729
4.7729 1.5910 4.7729
4.7729 4.7729 1.5910
1.5910 1.5910 4.7729
1.5910 4.7729 1.5910
4.7729 1.5910 1.5910
4.7729 4.7729 4.7729
```

Results
Theoretical density, g/cm3: 12.16
Polymorph energy (0 for the lowest one), meV per atom: 0
Total moment, μB/cell: 9.41

No. 4
Material: FeReAgSn
Method: DFT, PBE-GGA
State: optimized geometry

Geometry as POSCAR:
```
FeReAgSn
1.0
6.3877 0.0000 0.0000
0.0000 6.3877 0.0000
0.0000 0.0000 6.3877
Fe Re Ag Sn
4 4 4 4
Cartesian
0.0000 0.0000 0.0000
0.0000 3.1939 3.1939
3.1939 0.0000 3.1939
3.1939 3.1939 0.0000
0.0000 0.0000 3.1939
0.0000 3.1939 0.0000
3.1939 0.0000 0.0000
3.1939 3.1939 3.1939
1.5969 1.5969 1.5969
1.5969 4.7908 4.7908
4.7908 1.5969 4.7908
4.7908 4.7908 1.5969
1.5969 1.5969 4.7908
1.5969 4.7908 1.5969
4.7908 1.5969 1.5969
4.7908 4.7908 4.7908
```

Results
Theoretical density, g/cm3: 11.94
Polymorph energy (0 for the lowest one), meV per atom: 0
Total moment, μB/cell: 11.43

No. 5
Material: TlFeReAg
Method: DFT, PBE-GGA
State: optimized geometry

Geometry as POSCAR:
```
TlFeReAg
1.0
6.4442 0.0000 0.0000
0.0000 6.4442 0.0000
0.0000 0.0000 6.4442
Tl Fe Re Ag
4 4 4 4
Cartesian
0.0000 0.0000 0.0000
0.0000 3.2221 3.2221
3.2221 0.0000 3.2221
3.2221 3.2221 0.0000
1.6110 1.6110 1.6110
1.6110 4.8331 4.8331
4.8331 1.6110 4.8331
4.8331 4.8331 1.6110
0.0000 0.0000 3.2221
0.0000 3.2221 0.0000
3.2221 0.0000 0.0000
3.2221 3.2221 3.2221
1.6110 1.6110 4.8331
1.6110 4.8331 1.6110
4.8331 1.6110 1.6110
4.8331 4.8331 4.8331
```

Results
Theoretical density, g/cm3: 13.76
Polymorph energy (0 for the lowest one), meV per atom: 0
Total moment, μB/cell: 12.69

No. 6
Material: FeAg4S4
Method: DFT, PBE-GGA
State: optimized geometry

Geometry as POSCAR:
```
FeAg4S4
1.0
-2.9421 2.9421 5.2562
2.9421 -2.9421 5.2562
2.9421 2.9421 -5.2562
Fe Ag S
1 4 4
Cartesian
0.0000 0.0000 0.0000
2.9421 0.0000 0.0000
0.0000 0.0000 3.7651
0.0000 2.9421 0.0000
0.0000 0.0000 6.7472
1.7568 -1.7568 3.7461
1.1854 1.1854 1.5101
-1.7568 1.7568 3.7461
1.7568 1.7568 6.7663
```

Results
Electronic total energy, eV/atom: -4.0826
Theoretical density, g/cm3: 5.62
Total moment, μB/cell: 4.00